Entry from Alexandria: a relaxed structure of CdGePd (PBE).

Calculated values
* formation enthalpy at 0 K: -3.59 kcal/mol of atoms
* space-group type: No. 187
* total magnetization: 0.00 μB per formula unit
* raw total energy: -3.73 eV/atom
* density: 8.89 g/cm³

abc: 3.172 4.452 4.452
angles: 120.00 90.00 90.00
Element x y z (fractional)
1 Cd 0.667 0.667 0.333
2 Pd 0.167 0.333 0.667
3 Ge 0.167 0.000 0.000

***

Entry from Alexandria: a relaxed structure of Pr4Te3S (PBE).

Calculated values
* space-group type: No. 65
* total magnetization: 0.00 μB per formula unit
* raw total energy: -5.66 eV/atom
* E_form (uncorrected): -1.574 eV/atom
* density: 6.56 g/cm³

abc: 4.374 7.736 7.736
angles: 108.99 90.00 90.00
Element x y z (fractional)
1 Pr 0.500 0.228 0.772
2 Pr 0.500 0.772 0.228
3 Te 0.000 0.500 0.000
4 Pr 0.000 0.783 0.783
5 Te 0.000 0.000 0.500
6 S 0.500 0.000 0.000
7 Pr 0.000 0.217 0.217
8 Te 0.500 0.500 0.500